No. 1
The following is a DFT calculation (meta-GGA SCAN) of a PBEsol-optimized structure of K2Cd2Au.

Structure (CIF):
```
data_K2Cd2Au
_chemical_formula_sum 'K4 Cd4 Au2'
_space_group_name_H-M_alt 'I 4/m m m'
_space_group_IT_number 139
_space_group_name_Hall '-I 4 2'
_cell_length_a 3.986
_cell_length_b 3.986
_cell_length_c 20.162
_cell_angle_alpha 90.00
_cell_angle_beta 90.00
_cell_angle_gamma 90.00
loop_
_atom_site_label
_atom_site_type_symbol
_atom_site_fract_x
_atom_site_fract_y
_atom_site_fract_z
_atom_site_occupancy
K1 K 0.000 0.000 0.093 1
Cd1 Cd 0.000 0.500 0.250 1
Au1 Au 0.000 0.000 0.500 1
```

## Properties
DOS(E_F), states/eV/atom: 0.337
Total DFT energy (no corrections), eV/atom: -29.49
Energy of formation from the pure elements, eV/atom: -0.16
Calculated volume, Å³ per cell: 320.4

No. 2
The following is a DFT calculation (meta-GGA SCAN) of a PBEsol-optimized structure of LiCa2Mo.

Structure (CIF):
```
data_LiCa2Mo
_chemical_formula_sum 'Li1 Ca2 Mo1'
_space_group_name_H-M_alt 'P 4/m m m'
_space_group_IT_number 123
_space_group_name_Hall '-P 4 2'
_cell_length_a 3.056
_cell_length_b 3.056
_cell_length_c 10.306
_cell_angle_alpha 90.00
_cell_angle_beta 90.00
_cell_angle_gamma 90.00
loop_
_atom_site_label
_atom_site_type_symbol
_atom_site_fract_x
_atom_site_fract_y
_atom_site_fract_z
_atom_site_occupancy
Li1 Li 0.000 0.000 0.000 1
Ca1 Ca 0.500 0.500 0.280 1
Mo1 Mo 0.000 0.000 0.500 1
```

## Properties
DOS(E_F), states/eV/atom: 0.707
Total DFT energy (no corrections), eV/atom: -13.53
Energy of formation from the pure elements, eV/atom: 0.62
Calculated volume, Å³ per cell: 96.3

Question: Among the records above, which one has the lowest DOS(E_F)?
Answer: K2Cd2Au

Question: Which of these has the lowest calculated volume?
Answer: LiCa2Mo

Question: Which of these has the lowest total DFT energy (no corrections)?
Answer: K2Cd2Au